Compound: YRe2Cl
Source: the Alexandria database
Functional: meta-GGA SCAN
Structure: PBEsol geometry

```
4
Lattice="-2.355 0.409 2.097 0.286 -3.987 1.099 4.883 1.482 2.783" Properties=species:S:1:pos:R:3 pbc="T T T"
Y -1.178 0.204 1.049
Cl 0.143 -1.994 0.549
Re 1.037 -2.016 3.968
Re 1.777 -0.080 2.011
```

## Properties
total DFT energy (no corrections) = -44.50 eV per atom
excess energy over the best structure of this formula in the dataset = 0 meV per atom
crystal system = monoclinic
formation energy without anion corrections = 0.004 eV per atom